# 1
A relaxed structure of PmAsHIr. Source: Alexandria, functional PBE.

Geometry as POSCAR:
```
PmAsHIr
1.0
4.072 0.000 0.000
-2.036 3.527 0.000
0.000 0.000 9.777
Pm Ir H As
2 2 2 2
Direct
0.333 0.667 0.234 Pm
0.667 0.333 0.734 Pm
0.000 0.000 0.492 Ir
0.000 0.000 0.992 Ir
0.000 0.000 0.165 H
0.000 0.000 0.665 H
0.333 0.667 0.921 As
0.667 0.333 0.421 As
```

Results
As for the crystal system: hexagonal. For the total magnetization, the calculation gives 0.00 μB per formula unit. For the total energy, the calculation gives -6.075 eV/atom.

=====

# 2
A relaxed structure of PrAsHIr. Source: Alexandria, functional PBE.

Geometry as POSCAR:
```
PrAsHIr
1.0
-0.121 4.020 -0.795
-3.480 -2.158 0.190
-0.650 1.908 9.746
Ir As Pr H
2 2 2 2
Direct
0.000 0.000 0.991 Ir
0.000 0.000 0.491 Ir
0.667 0.333 0.424 As
0.333 0.667 0.924 As
0.333 0.667 0.236 Pr
0.667 0.333 0.736 Pr
0.000 0.000 0.661 H
0.000 0.000 0.161 H
```

Results
As for the crystal system: hexagonal. For the total magnetization, the calculation gives 0.00 μB per formula unit. For the total energy, the calculation gives -6.071 eV/atom.

=====

# 3
A relaxed structure of PuAsH2Ir. Source: Alexandria, functional PBE.

Geometry as POSCAR:
```
PuAsH2Ir
1.0
4.122 0.000 0.000
-2.061 5.122 0.000
0.000 0.000 5.965
H As Pu Ir
4 2 2 2
Direct
0.163 0.327 0.932 H
0.163 0.327 0.568 H
0.837 0.673 0.068 H
0.837 0.673 0.432 H
0.424 0.848 0.750 As
0.576 0.152 0.250 As
0.708 0.416 0.750 Pu
0.292 0.584 0.250 Pu
0.000 0.000 0.500 Ir
0.000 0.000 0.000 Ir
```

Results
As for the crystal system: orthorhombic. For the total magnetization, the calculation gives 5.46 μB per formula unit. For the total energy, the calculation gives -7.376 eV/atom.

=====

# 4
A relaxed structure of RbAsHIr. Source: Alexandria, functional PBE.

Geometry as POSCAR:
```
RbAsHIr
1.0
-0.433 -3.385 1.734
4.411 0.102 1.281
-1.777 2.717 4.861
H Ir Rb As
1 1 1 1
Direct
0.554 0.349 0.856 H
0.984 0.351 0.858 Ir
0.491 0.362 0.358 Rb
0.011 0.851 0.858 As
```

Results
As for the crystal system: triclinic. For the total magnetization, the calculation gives 0.00 μB per formula unit. The value obtained for the relative energy among the computed polymorphs is 0.1993 eV per atom.

=====

# 5
A relaxed structure of RbAsHIr. Source: Alexandria, functional PBE.

Geometry as POSCAR:
```
RbAsHIr
1.0
-0.517 -2.398 -3.294
-1.635 -4.256 3.356
-3.371 2.299 1.273
H Ir Rb As
1 1 1 1
Direct
0.874 0.000 0.902 H
0.118 0.000 0.691 Ir
0.786 0.500 0.003 Rb
0.454 0.000 0.330 As
```

Results
As for the crystal system: monoclinic. For the total magnetization, the calculation gives 0.00 μB per formula unit. The value obtained for the relative energy among the computed polymorphs is 0.1158 eV per atom.

=====

# 6
A relaxed structure of RbAsHIr. Source: Alexandria, functional PBE.

Geometry as POSCAR:
```
RbAsHIr
1.0
3.110 0.002 -0.066
1.551 4.247 -0.051
0.232 1.614 6.059
As Ir H Rb
1 1 1 1
Direct
0.135 0.781 0.053 As
0.431 0.180 0.146 Ir
0.904 0.224 0.282 H
0.770 0.533 0.608 Rb
```

Results
As for the crystal system: triclinic. For the total magnetization, the calculation gives 0.00 μB per formula unit. The value obtained for the relative energy among the computed polymorphs is 0.0497 eV per atom.

=====

# 7
A relaxed structure of RbAsHIr. Source: Alexandria, functional PBE.

Geometry as POSCAR:
```
RbAsHIr
1.0
3.940 0.047 -0.013
-1.680 3.564 0.004
-0.278 -2.323 6.307
Rb H Ir As
1 1 1 1
Direct
0.534 0.957 0.756 Rb
0.094 0.173 0.533 H
0.026 0.983 0.274 Ir
0.345 0.580 0.190 As
```

Results
As for the crystal system: monoclinic. For the total magnetization, the calculation gives 0.00 μB per formula unit. The value obtained for the relative energy among the computed polymorphs is 0.0161 eV per atom.

=====

# 8
A relaxed structure of RbAsHIr. Source: Alexandria, functional PBE.

Geometry as POSCAR:
```
RbAsHIr
1.0
-2.295 0.719 -3.153
-1.119 -2.775 3.054
-2.538 4.613 3.222
H Rb Ir As
1 1 1 1
Direct
0.380 0.548 0.827 H
0.061 0.888 0.615 Rb
0.381 0.546 0.090 Ir
0.692 0.202 0.165 As
```

Results
As for the crystal system: triclinic. For the total magnetization, the calculation gives 0.00 μB per formula unit. The value obtained for the relative energy among the computed polymorphs is 0.0000 eV per atom.

=====

# 9
A relaxed structure of RbAsHIr. Source: Alexandria, functional PBE.

Geometry as POSCAR:
```
RbAsHIr
1.0
-0.965 -3.687 -1.168
0.779 -2.670 2.808
-5.451 0.301 2.288
Rb Ir H As
1 1 1 1
Direct
0.340 0.671 0.539 Rb
0.648 0.982 0.996 Ir
0.990 0.323 0.324 H
0.004 0.335 0.052 As
```

Results
As for the crystal system: triclinic. For the total magnetization, the calculation gives 0.00 μB per formula unit. The value obtained for the relative energy among the computed polymorphs is 0.2205 eV per atom.

=====

# 10
A relaxed structure of RbAsHIr. Source: Alexandria, functional PBE.

Geometry as POSCAR:
```
RbAsHIr
1.0
3.071 0.000 0.000
0.000 4.307 0.000
0.000 0.000 12.287
Ir As H Rb
2 2 2 2
Direct
0.500 0.500 0.583 Ir
0.500 0.000 0.083 Ir
0.500 0.000 0.669 As
0.500 0.500 0.169 As
0.000 0.000 0.013 H
0.000 0.500 0.513 H
0.000 0.000 0.370 Rb
0.000 0.500 0.870 Rb
```

Results
As for the crystal system: orthorhombic. For the total magnetization, the calculation gives 0.00 μB per formula unit. The value obtained for the relative energy among the computed polymorphs is 0.1530 eV per atom.

=====

# 11
A relaxed structure of RbAsHIr. Source: Alexandria, functional PBE.

Geometry as POSCAR:
```
RbAsHIr
1.0
3.112 0.000 0.000
0.000 4.466 0.000
0.000 0.000 11.960
Ir H As Rb
2 2 2 2
Direct
0.000 0.500 0.369 Ir
0.000 0.000 0.869 Ir
0.000 0.500 0.234 H
0.000 0.000 0.734 H
0.000 0.000 0.432 As
0.000 0.500 0.932 As
0.500 0.000 0.158 Rb
0.500 0.500 0.658 Rb
```

Results
As for the crystal system: orthorhombic. For the total magnetization, the calculation gives 0.00 μB per formula unit. The value obtained for the relative energy among the computed polymorphs is 0.1952 eV per atom.

=====

# 12
A relaxed structure of RbAsHIr. Source: Alexandria, functional PBE.

Geometry as POSCAR:
```
RbAsHIr
1.0
-3.213 5.109 -0.015
-2.601 -1.633 0.834
2.643 -0.078 8.093
As Rb Ir H
2 2 2 2
Direct
0.477 0.500 0.125 As
0.477 0.000 0.625 As
0.966 0.500 0.454 Rb
0.966 0.000 0.954 Rb
0.428 0.500 0.828 Ir
0.428 0.000 0.328 Ir
0.747 0.000 0.645 H
0.747 0.500 0.145 H
```

Results
As for the crystal system: monoclinic. For the total magnetization, the calculation gives 0.00 μB per formula unit. The value obtained for the relative energy among the computed polymorphs is 0.2160 eV per atom.